Zn2TcPt after structural relaxation, computed with PBE.

Unit cell a=4.399 b=4.399 c=4.399 alpha=60.00 beta=60.00 gamma=60.00
Each line ends with the local moment (μB).
Fractional coordinates of all 4 atoms:
Pt 0.500 0.500 0.500  0.33
Zn 0.000 0.000 0.000  0.02
Zn 0.250 0.250 0.250  -0.01
Tc 0.750 0.750 0.750  1.77

DOS at the Fermi energy = 1.61 states/eV per cell
electronic total energy = -4.72 eV per atom
offset from the most stable computed form = 15.6 kJ/mol of atoms
volume = 60.2 Å³/cell
symmetry = F-43m, No. 216
theoretical density = 11.69 g cm⁻³
ΔH_f (0 K) = 0.0210 eV per atom

=====

TlRhI3 after structural relaxation, computed with PBE.

Unit cell a=5.504 b=5.504 c=5.504 alpha=90.00 beta=90.00 gamma=90.00
Fractional coordinates of all 5 atoms:
I 0.500 0.000 0.000
I 0.000 0.000 0.500
I 0.000 0.500 0.000
Rh 0.000 0.000 0.000
Tl 0.500 0.500 0.500

DOS at the Fermi energy = 2.53 states/eV per cell
electronic total energy = -3.06 eV per atom
offset from the most stable computed form = 0.0 kJ/mol of atoms
volume = 166.8 Å³/cell
symmetry = Pm-3m, No. 221
uncorrected formation energy = -189 meV per atom
theoretical density = 6.85 g cm⁻³

=====

Sm3TmGa3 after structural relaxation, computed with PBE.

Unit cell a=4.861 b=9.233 c=9.233 alpha=120.00 beta=90.00 gamma=90.00
Fractional coordinates of all 14 atoms:
Tm 0.750 0.333 0.667
Tm 0.250 0.667 0.333
Sm 0.250 0.014 0.757
Sm 0.750 0.986 0.243
Sm 0.750 0.256 0.014
Sm 0.250 0.744 0.986
Sm 0.250 0.243 0.256
Sm 0.750 0.757 0.744
Ga 0.250 0.393 0.941
Ga 0.750 0.607 0.059
Ga 0.250 0.548 0.607
Ga 0.250 0.059 0.452
Ga 0.750 0.452 0.393
Ga 0.750 0.941 0.548

DOS at the Fermi energy = 9.79 states/eV per cell
electronic total energy = -4.33 eV per atom
volume = 358.9 Å³/cell
symmetry = P6_3/m, No. 176
theoretical density = 7.67 g cm⁻³
ΔH_f (0 K) = -0.3722 eV per atom

=====

AcGe2Rh after structural relaxation, computed with PBE.

Unit cell a=4.494 b=4.328 c=9.375 alpha=103.35 beta=90.00 gamma=90.00
Fractional coordinates of all 8 atoms:
Rh 0.500 0.425 0.850
Rh 0.500 0.575 0.150
Ge 0.500 0.000 0.000
Ge 0.500 0.711 0.422
Ge 0.000 0.500 0.000
Ge 0.500 0.289 0.578
Ac 0.000 0.858 0.715
Ac 0.000 0.142 0.285

DOS at the Fermi energy = 3.47 states/eV per cell
electronic total energy = -5.94 eV per atom
offset from the most stable computed form = 5.2 kJ/mol of atoms
volume = 177.4 Å³/cell
symmetry = Cmmm, No. 65
theoretical density = 8.90 g cm⁻³
ΔH_f (0 K) = -0.7629 eV per atom

=====

LiZnCr2 after structural relaxation, computed with PBE.

Unit cell a=4.121 b=4.121 c=4.121 alpha=60.00 beta=60.00 gamma=60.00
Fractional coordinates of all 4 atoms:
Zn 0.500 0.500 0.500
Cr 0.750 0.750 0.750
Cr 0.250 0.250 0.250
Li 0.000 0.000 0.000

DOS at the Fermi energy = 4.63 states/eV per cell
electronic total energy = -4.87 eV per atom
offset from the most stable computed form = 54.2 kJ/mol of atoms
volume = 49.5 Å³/cell
symmetry = Fm-3m, No. 225
theoretical density = 5.92 g cm⁻³
ΔH_f (0 K) = 0.7362 eV per atom

=====

Nd6Ho2Er after structural relaxation, computed with PBE.

Unit cell a=6.254 b=10.133 c=10.133 alpha=71.54 beta=85.05 gamma=85.05
Fractional coordinates of all 18 atoms:
Er 0.250 0.100 0.900
Er 0.750 0.900 0.100
Nd 0.320 0.741 0.022
Nd 0.180 0.978 0.259
Nd 0.153 0.355 0.073
Nd 0.653 0.073 0.355
Nd 0.514 0.312 0.593
Nd 0.986 0.407 0.688
Nd 0.847 0.645 0.927
Nd 0.820 0.022 0.741
Nd 0.486 0.688 0.407
Nd 0.014 0.593 0.312
Nd 0.347 0.927 0.645
Nd 0.680 0.259 0.978
Ho 0.917 0.766 0.567
Ho 0.417 0.567 0.766
Ho 0.583 0.433 0.234
Ho 0.083 0.234 0.433

DOS at the Fermi energy = 24.70 states/eV per cell
electronic total energy = -4.62 eV per atom
offset from the most stable computed form = 0.0 kJ/mol of atoms
volume = 605.6 Å³/cell
symmetry = C2/c, No. 15
theoretical density = 7.47 g cm⁻³
ΔH_f (0 K) = 0.0828 eV per atom

=====

Rb2P2Se7 after structural relaxation, computed with PBE.

Unit cell a=6.683 b=8.961 c=8.961 alpha=106.29 beta=108.57 gamma=108.57
Fractional coordinates of all 11 atoms:
Rb 0.500 0.289 0.711
Rb 0.500 0.711 0.289
Se 0.901 0.413 0.154
Se 0.623 0.719 0.719
Se 0.377 0.281 0.281
Se 0.099 0.587 0.846
Se 0.901 0.154 0.413
Se 0.000 0.000 0.000
Se 0.099 0.846 0.587
P 0.020 0.247 0.247
P 0.980 0.753 0.753

DOS at the Fermi energy = 3.71 states/eV per cell
electronic total energy = -3.70 eV per atom
volume = 436.5 Å³/cell
symmetry = C2/m, No. 12
uncorrected formation energy = -324 meV per atom
theoretical density = 2.99 g cm⁻³

=====

LaSmHgRh after structural relaxation, computed with PBE.

Unit cell a=5.237 b=5.237 c=5.237 alpha=60.00 beta=60.00 gamma=60.00
Fractional coordinates of all 4 atoms:
Rh 0.000 0.000 0.000
Sm 0.250 0.250 0.250
Hg 0.500 0.500 0.500
La 0.750 0.750 0.750

DOS at the Fermi energy = 2.38 states/eV per cell
electronic total energy = -4.85 eV per atom
volume = 101.5 Å³/cell
symmetry = F-43m, No. 216
theoretical density = 9.69 g cm⁻³
ΔH_f (0 K) = -0.5256 eV per atom

=====

HfPbO3 after structural relaxation, computed with PBE.

Unit cell a=13.991 b=7.860 c=7.860 alpha=105.31 beta=136.80 gamma=43.20
Fractional coordinates of all 20 atoms:
Pb 0.764 0.647 0.571
Pb 0.236 0.353 0.429
Pb 0.736 0.071 0.147
Pb 0.264 0.929 0.853
O 0.889 0.400 0.405
O 0.111 0.600 0.595
O 0.570 0.597 0.576
O 0.430 0.403 0.424
O 0.389 0.095 0.100
O 0.070 0.924 0.903
O 0.060 0.263 0.210
O 0.930 0.076 0.097
O 0.940 0.737 0.790
O 0.560 0.290 0.237
O 0.440 0.710 0.763
O 0.611 0.905 0.900
Hf 0.750 0.165 0.665
Hf 0.750 0.520 0.020
Hf 0.250 0.480 0.980
Hf 0.250 0.835 0.335

DOS at the Fermi energy = 0.00 states/eV per cell
electronic total energy = -8.23 eV per atom
volume = 332.6 Å³/cell
symmetry = C2/c, No. 15
uncorrected formation energy = -2521 meV per atom
theoretical density = 8.66 g cm⁻³

=====

Pr3EuH after structural relaxation, computed with PBE.

Unit cell a=5.256 b=5.256 c=5.256 alpha=90.00 beta=90.00 gamma=90.00
Each line ends with the local moment (μB).
Fractional coordinates of all 5 atoms:
Pr 0.500 0.000 0.000  -0.02
Pr 0.000 0.000 0.500  -0.02
Pr 0.000 0.500 0.000  -0.02
Eu 0.500 0.500 0.500  6.85
H 0.000 0.000 0.000  0.00

DOS at the Fermi energy = 4.19 states/eV per cell
electronic total energy = -5.73 eV per atom
volume = 145.2 Å³/cell
symmetry = Pm-3m, No. 221
theoretical density = 6.59 g cm⁻³